# 1
! BeOs2Rh PBE-GGA optimized geometry; values from VASP
&SYSTEM
  ibrav = 0, nat = 4, ntyp = 3
/
ATOMIC_SPECIES
Os 190.23 Os.upf
Rh 102.91 Rh.upf
Be 9.01 Be.upf
ATOMIC_POSITIONS crystal
Os 0.000 0.000 0.986
Os 0.000 0.000 0.514
Rh 0.500 0.500 0.250
Be 0.500 0.500 0.750
CELL_PARAMETERS angstrom
2.746 0.000 0.000
0.000 3.852 0.000
0.000 0.000 5.044
! Energy of formation from the pure elements, kcal/mol of atoms: 4.5
! V, Å³/cell: 53.4
! Total magnetic moment, μB per formula unit: 0.00



# 2
! Co2SiPd PBE-GGA optimized geometry; values from VASP
&SYSTEM
  ibrav = 0, nat = 4, ntyp = 3
/
ATOMIC_SPECIES
Co 58.93 Co.upf
Pd 106.42 Pd.upf
Si 28.09 Si.upf
ATOMIC_POSITIONS crystal
Co 0.000 0.000 0.792
Pd 0.500 0.500 0.500
Si 0.500 0.500 0.000
Co 0.000 0.000 0.208
CELL_PARAMETERS angstrom
2.729 0.000 0.000
0.000 2.729 0.000
0.000 0.000 6.383
! V, Å³/cell: 47.6
! Total magnetic moment, μB per formula unit: 1.26
! E_form (uncorrected), eV per atom: -0.25



# 3
! LiRhPb3 PBE-GGA optimized geometry; values from VASP
&SYSTEM
  ibrav = 0, nat = 5, ntyp = 3
/
ATOMIC_SPECIES
Rh 102.91 Rh.upf
Li 6.94 Li.upf
Pb 207.20 Pb.upf
ATOMIC_POSITIONS crystal
Rh 0.000 0.000 0.000
Li 0.500 0.500 0.500
Pb 0.500 0.000 0.000
Pb 0.000 0.500 0.000
Pb 0.000 0.000 0.500
CELL_PARAMETERS angstrom
5.337 0.000 0.000
0.000 5.337 0.000
0.000 0.000 5.337
! Energy of formation from the pure elements, kcal/mol of atoms: 3.0
! V, Å³/cell: 152.0
! Total magnetic moment, μB per formula unit: 0.00
! Polymorph energy (0 for the lowest one), meV/atom: 240



# 4
! ScMo2Br PBE-GGA optimized geometry; values from VASP
&SYSTEM
  ibrav = 0, nat = 4, ntyp = 3
/
ATOMIC_SPECIES
Br 79.90 Br.upf
Sc 44.96 Sc.upf
Mo 95.94 Mo.upf
ATOMIC_POSITIONS crystal
Br 0.500 0.500 0.750
Sc 0.500 0.500 0.250
Mo 0.000 0.000 0.988
Mo 0.000 0.000 0.512
CELL_PARAMETERS angstrom
2.913 0.000 0.000
0.000 2.913 0.000
0.000 0.000 8.682
! V, Å³/cell: 73.7
! Total magnetic moment, μB per formula unit: 0.00
! E_form (uncorrected), eV per atom: 0.69
! Polymorph energy (0 for the lowest one), meV/atom: 766



# 5
! CsHf3Tl2S8 PBE-GGA optimized geometry; values from VASP
&SYSTEM
  ibrav = 0, nat = 14, ntyp = 4
/
ATOMIC_SPECIES
S 32.06 S.upf
Hf 178.49 Hf.upf
Tl 204.38 Tl.upf
Cs 132.91 Cs.upf
ATOMIC_POSITIONS crystal
S 0.309 0.771 0.148
Hf 0.505 0.999 0.991
S 0.230 0.230 0.827
S 0.284 0.284 0.147
S 0.726 0.726 0.821
Tl 0.465 0.465 0.604
Hf 0.505 0.505 0.991
S 0.230 0.713 0.827
S 0.713 0.230 0.827
Tl 0.125 0.125 0.624
S 0.771 0.309 0.148
S 0.771 0.771 0.148
Cs 0.858 0.858 0.427
Hf 0.999 0.505 0.991
CELL_PARAMETERS angstrom
-1.728 7.265 -0.662
-4.728 3.187 4.868
4.606 5.566 6.604
! V, Å³/cell: 427.4
! Total magnetic moment, μB per formula unit: 1.03
! E_form (uncorrected), eV per atom: -1.17



# 6
! Na2PdAuS PBE-GGA optimized geometry; values from VASP
&SYSTEM
  ibrav = 0, nat = 5, ntyp = 4
/
ATOMIC_SPECIES
Na 22.99 Na.upf
Au 196.97 Au.upf
S 32.06 S.upf
Pd 106.42 Pd.upf
ATOMIC_POSITIONS crystal
Na 0.500 0.000 0.000
Au 0.000 0.500 0.000
Na 0.000 0.000 0.500
S 0.000 0.000 0.000
Pd 0.500 0.500 0.500
CELL_PARAMETERS angstrom
5.100 0.000 0.000
0.000 4.759 0.000
0.000 0.000 5.100
! V, Å³/cell: 123.8
! Total magnetic moment, μB per formula unit: 0.00
! E_form (uncorrected), eV per atom: -0.02



# 7
! ScAlZn2 PBE-GGA optimized geometry; values from VASP
&SYSTEM
  ibrav = 0, nat = 8, ntyp = 3
/
ATOMIC_SPECIES
Sc 44.96 Sc.upf
Al 26.98 Al.upf
Zn 65.41 Zn.upf
ATOMIC_POSITIONS crystal
Sc 0.000 0.000 0.000
Al 0.500 0.500 0.000
Zn 0.169 0.625 0.250
Al 0.250 0.750 0.500
Sc 0.750 0.250 0.500
Zn 0.375 0.419 0.750
Zn 0.581 0.125 0.250
Zn 0.875 0.831 0.750
CELL_PARAMETERS angstrom
-2.926 -1.556 -2.425
2.536 0.249 -3.219
2.877 -9.176 -1.061
! Energy of formation from the pure elements, kcal/mol of atoms: 0.8
! V, Å³/cell: 155.6
! Total magnetic moment, μB per formula unit: 0.00



# 8
! Cs2FeReI6 PBE-GGA optimized geometry; values from VASP
&SYSTEM
  ibrav = 0, nat = 10, ntyp = 4
/
ATOMIC_SPECIES
I 126.90 I.upf
Cs 132.91 Cs.upf
Fe 55.84 Fe.upf
Re 186.21 Re.upf
ATOMIC_POSITIONS crystal
I 0.755 0.245 0.000
Cs 0.750 0.250 0.500
I 0.246 0.246 0.508
I 0.755 0.755 0.000
Cs 0.250 0.750 0.500
Fe 0.500 0.500 0.000
I 0.754 0.754 0.492
I 0.245 0.755 0.000
I 0.245 0.245 0.000
Re 0.000 0.000 0.000
CELL_PARAMETERS angstrom
-1.080 2.121 -7.737
-1.663 -7.697 -1.878
-6.902 -1.844 -3.777
! V, Å³/cell: 373.8
! Total magnetic moment, μB per formula unit: 5.98
! E_form (uncorrected), eV per atom: -0.33